# 1
Material: La2NdSmDy2
Method: DFT, GGA-PBE
State: relaxed

a b c (Å): 5.783 10.011 7.129
angles (deg): 90.00 90.00 90.00
Positions (direct):
La  0.000  0.000  0.000
La  0.000  0.000  0.500
La  0.500  0.169  0.250
La  0.500  0.831  0.750
Nd  0.500  0.500  0.001
Nd  0.500  0.500  0.501
Sm  0.000  0.335  0.751
Sm  0.000  0.665  0.251
Dy  0.000  0.334  0.251
Dy  0.000  0.666  0.751
Dy  0.500  0.167  0.750
Dy  0.500  0.833  0.250

## Properties
Fermi-level density of states ... 9.525 states/eV/f.u.
DFT total energy ... -4.692 eV per atom
Energy of formation from the pure elements ... 65 meV/atom

# 2
Material: La2Nd2Sm2Dy
Method: DFT, GGA-PBE
State: relaxed

a b c (Å): 6.350 6.350 8.209
angles (deg): 97.49 97.49 48.28
Positions (direct):
La  0.143  0.143  0.425
La  0.857  0.857  0.575
Nd  0.285  0.285  0.860
Nd  0.715  0.715  0.140
Sm  0.430  0.430  0.283
Sm  0.570  0.570  0.717
Dy  0.000  0.000  0.000

## Properties
Fermi-level density of states ... 12.108 states/eV/f.u.
DFT total energy ... -4.755 eV per atom
Energy of formation from the pure elements ... 21 meV/atom

# 3
Material: LaNd4Sm2Dy
Method: DFT, GGA-PBE
State: relaxed

a b c (Å): 6.314 3.673 12.163
angles (deg): 90.00 100.28 90.00
Positions (direct):
La  0.000  0.000  0.000
Nd  0.250  0.000  0.750
Nd  0.252  0.500  0.252
Nd  0.748  0.500  0.748
Nd  0.750  0.000  0.250
Sm  0.000  0.500  0.500
Sm  0.500  0.000  0.500
Dy  0.500  0.500  0.000

## Properties
Fermi-level density of states ... 12.781 states/eV/f.u.
DFT total energy ... -4.738 eV per atom
Energy of formation from the pure elements ... 17 meV/atom

Calculated size of the total moment in order - 0.0000 0.0000 0.0000 μB per atom